Below is crystalline Rb2AgNF6 at its relaxed geometry, with properties calculated at the PBE-GGA level.

Cell and atoms, written as CIF:
```
data_Rb2AgNF6
_chemical_formula_sum 'Rb8 Ag4 N4 F24'
_space_group_name_H-M_alt 'F m -3 m'
_space_group_IT_number 225
_space_group_name_Hall '-F 4 2 3'
_cell_length_a 8.4588
_cell_length_b 8.4588
_cell_length_c 8.4588
_cell_angle_alpha 90.00
_cell_angle_beta 90.00
_cell_angle_gamma 90.00
loop_
_atom_site_label
_atom_site_type_symbol
_atom_site_fract_x
_atom_site_fract_y
_atom_site_fract_z
_atom_site_occupancy
Rb1 Rb 0.2500 0.2500 0.2500 1
Ag1 Ag 0.0000 0.0000 0.0000 1
N1 N 0.0000 0.0000 0.5000 1
F1 F 0.0000 0.0000 0.2767 1
```

Electronic total energy, eV per atom: -3.699
Size of the total moment, μB per cell: 0.0
Raw formation energy, eV per atom: -1.2648

=====

Below is crystalline RbAgNF2 at its relaxed geometry, with properties calculated at the PBE-GGA level.

Cell and atoms, written as CIF:
```
data_RbAgNF2
_chemical_formula_sum 'Rb1 Ag1 N1 F2'
_space_group_name_H-M_alt 'P 4/m m m'
_space_group_IT_number 123
_space_group_name_Hall '-P 4 2'
_cell_length_a 5.1838
_cell_length_b 5.1838
_cell_length_c 5.2295
_cell_angle_alpha 90.00
_cell_angle_beta 90.00
_cell_angle_gamma 90.00
loop_
_atom_site_label
_atom_site_type_symbol
_atom_site_fract_x
_atom_site_fract_y
_atom_site_fract_z
_atom_site_occupancy
Rb1 Rb 0.0000 0.0000 0.0000 1
Ag1 Ag 0.5000 0.5000 0.5000 1
N1 N 0.0000 0.0000 0.5000 1
F1 F 0.0000 0.5000 0.0000 1
```

Electronic total energy, eV per atom: -2.968
Size of the total moment, μB per cell: 3.0
Offset from the most stable computed form, eV per atom: 0.861
Raw formation energy, eV per atom: 0.2094

=====

Below is crystalline RbAgNF2 at its relaxed geometry, with properties calculated at the PBE-GGA level.

Cell and atoms, written as CIF:
```
data_RbAgNF2
_chemical_formula_sum 'Rb1 Ag1 N1 F2'
_space_group_name_H-M_alt 'P 4/m m m'
_space_group_IT_number 123
_space_group_name_Hall '-P 4 2'
_cell_length_a 4.7074
_cell_length_b 4.7074
_cell_length_c 4.1019
_cell_angle_alpha 90.00
_cell_angle_beta 90.00
_cell_angle_gamma 90.00
loop_
_atom_site_label
_atom_site_type_symbol
_atom_site_fract_x
_atom_site_fract_y
_atom_site_fract_z
_atom_site_occupancy
Rb1 Rb 0.0000 0.0000 0.0000 1
Ag1 Ag 0.5000 0.5000 0.5000 1
N1 N 0.5000 0.5000 0.0000 1
F1 F 0.0000 0.5000 0.5000 1
```

Electronic total energy, eV per atom: -3.829
Size of the total moment, μB per cell: 2.2
Offset from the most stable computed form, eV per atom: 0.000
Raw formation energy, eV per atom: -0.6519

=====

> Which of these has the highest electronic total energy?

number 2